The following is a PBE-GGA calculation of crystalline Er2SiGe3Pt4 at its relaxed geometry, from Alexandria.

Symmetry: P-4m2
Total magnetic moment, Bohr magnetons per cell: 0.0
ΔE_f (raw), kJ/mol of atoms: -85.43
DOS at the Fermi energy, states/eV/cell: 7.00

POSCAR file:
```
Er2SiGe3Pt4
1.0
-3.6069 -0.2868 2.2668
-0.9514 -3.6627 -1.9773
4.8891 -5.1199 7.1315
Si Pt Ge Er
1 4 3 2
Direct
0.5000 0.5000 0.5000
0.5000 0.5000 0.0000
0.5000 0.0000 0.6216
0.0000 0.0000 0.0000
0.0000 0.5000 0.3784
0.5000 0.0000 0.8639
0.0000 0.5000 0.1361
0.0000 0.0000 0.5000
0.5000 0.0000 0.2506
0.0000 0.5000 0.7494
```

The following is a PBE-GGA calculation of crystalline Pm3HgRh at its relaxed geometry, from Alexandria.

Symmetry: Pnma
Formation energy, eV per atom: -0.510
Total magnetic moment, Bohr magnetons per cell: 0.0
DOS at the Fermi energy, states/eV/cell: 19.21

POSCAR file:
```
Pm3HgRh
1.0
4.9608 0.0000 0.0000
0.0000 7.3943 0.0000
0.0000 0.0000 15.1349
Pm Rh Hg
12 4 4
Direct
0.7500 0.6336 0.4556
0.7500 0.4903 0.8974
0.2500 0.0097 0.3974
0.2500 0.5097 0.1026
0.2500 0.6872 0.7219
0.2500 0.3664 0.5444
0.2500 0.1872 0.7781
0.7500 0.9903 0.6026
0.7500 0.8128 0.2219
0.2500 0.8664 0.9556
0.7500 0.1336 0.0444
0.7500 0.3128 0.2781
0.7500 0.7239 0.0446
0.2500 0.2761 0.9554
0.7500 0.2239 0.4554
0.2500 0.7761 0.5446
0.7500 0.9072 0.8181
0.7500 0.4072 0.6819
0.2500 0.0928 0.1819
0.2500 0.5928 0.3181
```

The following is a PBE-GGA calculation of crystalline Li2Pr5Sn7 at its relaxed geometry, from Alexandria.

Symmetry: P2_12_12_1
Formation energy, eV per atom: -0.693
Total magnetic moment, Bohr magnetons per cell: 0.0
DOS at the Fermi energy, states/eV/cell: 26.06

POSCAR file:
```
Li2Pr5Sn7
1.0
-3.9140 4.9506 -0.3781
-5.0393 -4.8988 -11.9765
-12.2239 -8.9908 8.8209
Pr Li Sn
20 8 28
Direct
0.8588 0.3194 0.4594
0.6469 0.4236 0.1225
0.6363 0.6769 0.2826
0.1412 0.8194 0.0406
0.1391 0.4977 0.9824
0.8609 0.9977 0.5176
0.6412 0.6806 0.9594
0.8637 0.3231 0.7826
0.1450 0.4979 0.2629
0.3609 0.5023 0.4824
0.8550 0.9979 0.2371
0.6391 0.0023 0.0176
0.1469 0.0764 0.8775
0.3531 0.9236 0.3775
0.3588 0.1806 0.5406
0.3550 0.5021 0.7629
0.3637 0.1769 0.2174
0.6450 0.0021 0.7371
0.1363 0.8231 0.7174
0.8531 0.5764 0.6225
0.9137 0.2692 0.9806
0.3862 0.2320 0.7280
0.5863 0.7308 0.4806
0.8862 0.2680 0.2720
0.0863 0.7692 0.5194
0.1138 0.7680 0.2280
0.4137 0.2308 0.0194
0.6138 0.7320 0.7720
0.5961 0.3784 0.6215
0.7981 0.1902 0.1279
0.6512 0.4427 0.3113
0.8871 0.8730 0.8787
0.3660 0.6533 0.6220
0.7019 0.8098 0.6279
0.8660 0.8467 0.3780
0.0961 0.1216 0.3785
0.6364 0.4369 0.9339
0.8636 0.5631 0.4339
0.9039 0.6216 0.1215
0.2981 0.3098 0.8721
0.1340 0.3467 0.1220
0.1512 0.0573 0.6887
0.6129 0.1270 0.3787
0.4039 0.8784 0.8785
0.3276 0.3129 0.3781
0.1129 0.3730 0.6213
0.8488 0.5573 0.8113
0.2019 0.6902 0.3721
0.3871 0.6270 0.1213
0.1724 0.6871 0.8781
0.6724 0.8129 0.1219
0.1364 0.0631 0.0661
0.3636 0.9369 0.5661
0.8276 0.1871 0.6219
0.3488 0.9427 0.1887
0.6340 0.1533 0.8780
```

The following is a PBE-GGA calculation of crystalline LiZrSN at its relaxed geometry, from Alexandria.

Symmetry: R3m
Total magnetic moment, Bohr magnetons per cell: 0.0
ΔE_f (raw), kJ/mol of atoms: -124.29
DOS at the Fermi energy, states/eV/cell: 0.00

POSCAR file:
```
LiZrSN
1.0
3.4152 0.0011 0.0017
1.7066 2.9581 0.0028
1.7043 0.9831 6.1851
N S Li Zr
1 1 1 1
Direct
0.5655 0.8281 0.9923
0.7143 0.9771 0.5457
0.4572 0.7200 0.3171
0.9470 0.2096 0.8478
```

The following is a PBE-GGA calculation of crystalline AcDyY2Se6 at its relaxed geometry, from Alexandria.

Symmetry: R3
Total magnetic moment, Bohr magnetons per cell: 0.0
ΔE_f (raw), kJ/mol of atoms: -181.83
DOS at the Fermi energy, states/eV/cell: 0.00

POSCAR file:
```
AcDyY2Se6
1.0
-4.5324 5.1230 -2.7898
-0.9909 0.4706 -7.3054
-6.8210 -2.3219 -2.9580
Y Ac Dy Se
2 1 1 6
Direct
0.5177 0.5176 0.4470
0.0105 0.0106 0.9683
0.8051 0.8051 0.5847
0.3181 0.3181 0.0457
0.3749 0.7284 0.7458
0.7284 0.1507 0.7459
0.1508 0.3750 0.7459
0.2305 0.9143 0.2440
0.9143 0.6113 0.2440
0.6112 0.2306 0.2439
```

The following is a PBE-GGA calculation of crystalline Th5Tl4Sn at its relaxed geometry, from Alexandria.

Symmetry: P4/mmm
Formation energy, eV per atom: -0.181
Total magnetic moment, Bohr magnetons per cell: 0.0
DOS at the Fermi energy, states/eV/cell: 9.88

POSCAR file:
```
Th5Tl4Sn
1.0
4.1725 0.0000 0.0000
0.0000 4.1725 0.0000
0.0000 0.0000 16.9476
Th Sn Tl
5 1 4
Direct
0.5000 0.5000 0.2998
0.5000 0.5000 0.5000
0.5000 0.5000 0.0983
0.5000 0.5000 0.9017
0.5000 0.5000 0.7002
0.0000 0.0000 0.0000
0.0000 0.0000 0.6000
0.0000 0.0000 0.7997
0.0000 0.0000 0.2003
0.0000 0.0000 0.4000
```

The following is a PBE-GGA calculation of crystalline LaPmNdAg at its relaxed geometry, from Alexandria.

Symmetry: F-43m
Formation energy, eV per atom: 0.079
Total magnetic moment, Bohr magnetons per cell: 0.0
DOS at the Fermi energy, states/eV/cell: 7.05

POSCAR file:
```
LaPmNdAg
1.0
-1.4399 2.4182 -4.8058
1.7872 -2.1208 -4.8296
-3.5867 -2.5321 -3.4265
La Pm Ag Nd
1 1 1 1
Direct
0.2500 0.2500 0.2500
0.0000 0.0000 0.0000
0.5000 0.5000 0.5000
0.7500 0.7500 0.7500
```

The following is a PBE-GGA calculation of crystalline NpBiTe at its relaxed geometry, from Alexandria.

Symmetry: F-43m
Total magnetic moment, Bohr magnetons per cell: 3.9
ΔE_f (raw), kJ/mol of atoms: 1.25
DOS at the Fermi energy, states/eV/cell: 16.65

POSCAR file:
```
NpBiTe
1.0
5.2493 0.0000 0.0000
2.6247 4.5461 0.0000
2.6247 1.5154 4.2861
Te Np Bi
1 1 1
Direct
0.5000 0.5000 0.5000
0.2500 0.2500 0.2500
0.0000 0.0000 0.0000
```